A plane-wave DFT calculation with GGA-PBE was carried out for LiNiAg after structural relaxation.

Summary:
Its crystal system is tetragonal. The value obtained for the total DFT energy (no corrections) is -0.251 Ry per atom. The calculation puts the total moment at 0.22 μB/f.u. As for the density of states at the Fermi level: 3.29 states/eV per cell.

abc: 6.0225 6.0225 6.0225
angles: 153.79 153.79 37.41
Last column: nearest neighbours and their distance in Å.
Positions (direct):
1 Ag 0.0045 0.0045 0.0000  4 Ni 2.72, 4 Ag 2.73, 4 Li 2.83
2 Li 0.3232 0.3232 0.0000  4 Ni 2.59, 4 Li 2.73, 4 Ag 2.83
3 Ni 0.6723 0.6723 0.0000  4 Li 2.59, 4 Ag 2.72, 4 Ni 2.73